Density functional theory data (PBE) for La6TbPm2Pr after structural relaxation.

Calculated values
- SG = C2/m
- electronic total energy (eV per atom) = -4.670

abc: 9.337 7.012 6.755
angles: 121.27 104.96 90.00
Fractional coordinates of all 10 atoms:
La 0.422 0.629 0.257
La 0.193 0.035 0.603
La 0.807 0.431 0.397
La 0.193 0.569 0.603
La 0.807 0.965 0.397
La 0.578 0.371 0.743
Tb 0.000 0.500 0.000
Pm 0.169 0.073 0.146
Pm 0.831 0.927 0.854
Pr 0.500 0.000 0.000

Density functional theory data (PBE) for In2GaCuBi after structural relaxation.

Calculated values
- SG = P4/mmm
- electronic total energy (eV per atom) = -3.163

abc: 5.199 5.199 4.721
angles: 90.00 90.00 90.00
Fractional coordinates of all 5 atoms:
Cu 0.000 0.000 0.000
Bi 0.500 0.500 0.500
Ga 0.000 0.000 0.500
In 0.000 0.500 0.000
In 0.500 0.000 0.000

Density functional theory data (PBE) for Hf3CoTe after structural relaxation.

Calculated values
- SG = Pm-3m
- electronic total energy (eV per atom) = -8.069
- energy relative to the lowest polymorph listed for this composition (meV/atom) = 367
- formation energy (no corrections) (eV/atom) = -0.05

abc: 4.826 4.826 4.826
angles: 90.00 90.00 90.00
Fractional coordinates of all 5 atoms:
Co 0.000 0.000 0.000
Te 0.500 0.500 0.500
Hf 0.000 0.500 0.000
Hf 0.000 0.000 0.500
Hf 0.500 0.000 0.000

Density functional theory data (PBE) for Tl2ZnCl after structural relaxation.

Calculated values
- SG = Fm-3m
- electronic total energy (eV per atom) = -2.152
- energy relative to the lowest polymorph listed for this composition (meV/atom) = 124
- formation energy (no corrections) (eV/atom) = -0.19

abc: 5.421 5.421 5.421
angles: 60.00 60.00 60.00
Fractional coordinates of all 4 atoms:
Tl 0.250 0.250 0.250
Tl 0.750 0.750 0.750
Zn 0.500 0.500 0.500
Cl 0.000 0.000 0.000

Density functional theory data (PBE) for InMo2As after structural relaxation.

Calculated values
- SG = I-4m2
- electronic total energy (eV per atom) = -6.800
- energy relative to the lowest polymorph listed for this composition (meV/atom) = 429

abc: 5.109 5.109 5.109
angles: 133.61 133.61 67.70
Fractional coordinates of all 4 atoms:
Mo 0.000 0.000 0.000
Mo 0.250 0.750 0.500
As 0.500 0.500 0.000
In 0.750 0.250 0.500

Density functional theory data (PBE) for Mo3NCl7 after structural relaxation.

Calculated values
- SG = Cm
- electronic total energy (eV per atom) = -5.650
- formation energy (no corrections) (eV/atom) = -0.76

abc: 6.573 6.574 7.514
angles: 77.25 64.06 60.01
Fractional coordinates of all 11 atoms:
Mo 0.028 0.326 0.618
Mo 0.637 0.716 0.618
Mo 0.028 0.716 0.618
N 0.797 0.586 0.821
Cl 0.323 0.920 0.434
Cl 0.299 0.582 0.819
Cl 0.861 0.912 0.367
Cl 0.298 0.087 0.820
Cl 0.794 0.087 0.820
Cl 0.348 0.425 0.366
Cl 0.861 0.425 0.366

Density functional theory data (PBE) for PuPa2Pt after structural relaxation.

Calculated values
- SG = R3m
- electronic total energy (eV per atom) = -10.031
- energy relative to the lowest polymorph listed for this composition (meV/atom) = 232

abc: 3.837 3.837 7.811
angles: 75.78 75.78 60.00
Site moments in Bohr magnetons follow the coordinates.
Fractional coordinates of all 4 atoms:
Pu 0.513 0.513 0.462  4.52
Pa 0.077 0.077 0.770  0.30
Pa 0.246 0.246 0.262  0.19
Pt 0.665 0.665 0.006  -0.01

Density functional theory data (PBE) for H2Cl5 after structural relaxation.

Calculated values
- SG = C2/c
- electronic total energy (eV per atom) = -2.485

abc: 9.306 5.718 10.719
angles: 118.29 115.73 90.00
Fractional coordinates of all 14 atoms:
H 0.399 0.659 0.737
H 0.662 0.841 0.263
H 0.601 0.341 0.263
H 0.338 0.159 0.737
Cl 0.069 0.489 0.268
Cl 0.801 0.011 0.732
Cl 0.486 0.478 0.736
Cl 0.749 0.022 0.264
Cl 0.514 0.522 0.264
Cl 0.251 0.978 0.736
Cl 0.199 0.989 0.268
Cl 0.931 0.511 0.732
Cl 0.067 0.750 0.000
Cl 0.933 0.250 0.000